Record 1
Entry from the Alexandria database: an optimized crystal structure of K2RbPb9 (PBE).

CIF file:
```
data_K2RbPb9
_cell_length_a 11.328
_cell_length_b 11.328
_cell_length_c 11.328
_cell_angle_alpha 35.60
_cell_angle_beta 35.60
_cell_angle_gamma 35.60
_space_group_name_H-M_alt 'P 1'
_space_group_IT_number 1
loop_
_space_group_symop_operation_xyz
'x,y,z'
loop_
_atom_site_label
_atom_site_fract_x
_atom_site_fract_y
_atom_site_fract_z
_atom_site_occupancy
K1 0.141 0.141 0.141 1
K2 0.859 0.859 0.859 1
Rb1 0.000 0.000 0.000 1
Pb1 0.078 0.588 0.588 1
Pb2 0.338 0.338 0.338 1
Pb3 0.412 0.412 0.922 1
Pb4 0.412 0.922 0.412 1
Pb5 0.500 0.500 0.500 1
Pb6 0.588 0.078 0.588 1
Pb7 0.588 0.588 0.078 1
Pb8 0.662 0.662 0.662 1
Pb9 0.922 0.412 0.412 1
```

Results
The theoretical density comes out at 7.7 Mg/m³. Its total energy is -3.171 eV per atom. The value obtained for the energy of formation is -0.13 eV per atom. The volume is 440.3 Å³/f.u. Its space-group type is R-3m, No. 166.



Record 2
Entry from the Alexandria database: an optimized crystal structure of KRb2Pb (PBE).

CIF file:
```
data_KRb2Pb
_cell_length_a 7.782
_cell_length_b 7.782
_cell_length_c 9.294
_cell_angle_alpha 97.99
_cell_angle_beta 97.99
_cell_angle_gamma 121.41
_space_group_name_H-M_alt 'P 1'
_space_group_IT_number 1
loop_
_space_group_symop_operation_xyz
'x,y,z'
loop_
_atom_site_label
_atom_site_fract_x
_atom_site_fract_y
_atom_site_fract_z
_atom_site_occupancy
K1 0.078 0.078 0.246 1
K2 0.922 0.922 0.754 1
Rb1 0.235 0.765 0.500 1
Rb2 0.346 0.654 0.000 1
Rb3 0.654 0.346 0.000 1
Rb4 0.765 0.235 0.500 1
Pb1 0.397 0.397 0.628 1
Pb2 0.603 0.603 0.372 1
```

Results
The theoretical density comes out at 3.0 Mg/m³. Its total energy is -1.727 eV per atom. The value obtained for the energy of formation is -0.04 eV per atom. The volume is 230.3 Å³/f.u. Its space-group type is C2/m, No. 12. The value obtained for the energy relative to the lowest polymorph listed for this composition is 34 meV per atom.



Record 3
Entry from the Alexandria database: an optimized crystal structure of KRb2Pb (PBE).

CIF file:
```
data_KRb2Pb
_cell_length_a 6.607
_cell_length_b 6.607
_cell_length_c 6.607
_cell_angle_alpha 60.00
_cell_angle_beta 60.00
_cell_angle_gamma 60.00
_space_group_name_H-M_alt 'P 1'
_space_group_IT_number 1
loop_
_space_group_symop_operation_xyz
'x,y,z'
loop_
_atom_site_label
_atom_site_fract_x
_atom_site_fract_y
_atom_site_fract_z
_atom_site_occupancy
K1 0.000 0.000 0.000 1
Rb1 0.250 0.250 0.250 1
Rb2 0.750 0.750 0.750 1
Pb1 0.500 0.500 0.500 1
```

Results
The theoretical density comes out at 3.4 Mg/m³. Its total energy is -1.684 eV per atom. The value obtained for the energy of formation is 0.00 eV per atom. The volume is 204.0 Å³/f.u. Its space-group type is Fm-3m, No. 225. The value obtained for the energy relative to the lowest polymorph listed for this composition is 77 meV per atom.



Record 4
Entry from the Alexandria database: an optimized crystal structure of KRbPb4 (PBE).

CIF file:
```
data_KRbPb4
_cell_length_a 6.825
_cell_length_b 6.825
_cell_length_c 6.825
_cell_angle_alpha 60.00
_cell_angle_beta 60.00
_cell_angle_gamma 60.00
_space_group_name_H-M_alt 'P 1'
_space_group_IT_number 1
loop_
_space_group_symop_operation_xyz
'x,y,z'
loop_
_atom_site_label
_atom_site_fract_x
_atom_site_fract_y
_atom_site_fract_z
_atom_site_occupancy
K1 0.000 0.000 0.000 1
Rb1 0.750 0.750 0.750 1
Pb1 0.374 0.374 0.374 1
Pb2 0.374 0.374 0.877 1
Pb3 0.374 0.877 0.374 1
Pb4 0.877 0.374 0.374 1
```

Results
The theoretical density comes out at 7.0 Mg/m³. Its total energy is -2.926 eV per atom. The value obtained for the energy of formation is -0.11 eV per atom. The volume is 224.8 Å³/f.u. Its space-group type is F-43m, No. 216. The value obtained for the energy relative to the lowest polymorph listed for this composition is 25 meV per atom.



Record 5
Entry from the Alexandria database: an optimized crystal structure of KRbPb2 (PBE).

CIF file:
```
data_KRbPb2
_cell_length_a 6.074
_cell_length_b 6.074
_cell_length_c 6.074
_cell_angle_alpha 60.00
_cell_angle_beta 60.00
_cell_angle_gamma 60.00
_space_group_name_H-M_alt 'P 1'
_space_group_IT_number 1
loop_
_space_group_symop_operation_xyz
'x,y,z'
loop_
_atom_site_label
_atom_site_fract_x
_atom_site_fract_y
_atom_site_fract_z
_atom_site_occupancy
K1 0.000 0.000 0.000 1
Rb1 0.500 0.500 0.500 1
Pb1 0.250 0.250 0.250 1
Pb2 0.750 0.750 0.750 1
```

Results
The theoretical density comes out at 5.6 Mg/m³. Its total energy is -2.301 eV per atom. The value obtained for the energy of formation is 0.07 eV per atom. The volume is 158.5 Å³/f.u. Its space-group type is Fm-3m, No. 225. The value obtained for the energy relative to the lowest polymorph listed for this composition is 173 meV per atom.



Record 6
Entry from the Alexandria database: an optimized crystal structure of KRb2Pb (PBE).

CIF file:
```
data_KRb2Pb
_cell_length_a 7.653
_cell_length_b 5.778
_cell_length_c 11.858
_cell_angle_alpha 90.00
_cell_angle_beta 108.72
_cell_angle_gamma 90.00
_space_group_name_H-M_alt 'P 1'
_space_group_IT_number 1
loop_
_space_group_symop_operation_xyz
'x,y,z'
loop_
_atom_site_label
_atom_site_fract_x
_atom_site_fract_y
_atom_site_fract_z
_atom_site_occupancy
K1 0.000 0.000 0.000 1
K2 0.056 0.000 0.650 1
Rb1 0.177 0.500 0.361 1
Rb2 0.463 0.500 0.932 1
Rb3 0.559 0.000 0.648 1
Rb4 0.646 0.000 0.286 1
Pb1 0.765 0.500 0.515 1
Pb2 0.896 0.500 0.789 1
```

Results
The theoretical density comes out at 2.8 Mg/m³. Its total energy is -1.739 eV per atom. The value obtained for the energy of formation is -0.05 eV per atom. The volume is 248.3 Å³/f.u. Its space-group type is Pm, No. 6. The value obtained for the energy relative to the lowest polymorph listed for this composition is 22 meV per atom.